First-principles (GGA+U) data for crystalline Ni5GeO6 at its relaxed geometry, as listed in Alexandria via LeMat-Bulk.

Structure (POSCAR):
```
Ni5GeO6
1.0
2.620 -4.693 0.000
2.620 4.693 0.000
-1.633 0.000 4.767
Ni Ge O
5 1 6
direct
0.000 0.000 0.000
0.166 0.834 0.500
0.334 0.666 0.000
0.666 0.334 0.000
0.834 0.166 0.500
0.500 0.500 0.500
0.118 0.408 0.252
0.290 0.290 0.747
0.408 0.118 0.252
0.592 0.882 0.748
0.710 0.710 0.253
0.882 0.592 0.748
```

Output
- Space group: No. 12
- Uncorrected energy: -57.47 eV per cell
- Magnetic moment: 8.0 μB per formula unit